First-principles (PBE) data for an optimized crystal structure of Ga2AgS4, as listed in Alexandria.

energy relative to the elements, uncorrected: -0.4396 eV/atom
DOS at the Fermi energy: 4.61 states/eV per cell
space-group type: P-42m (111)
energy: -28.492 eV per cell

Unit cell a=5.1069 b=5.1069 c=6.1216 alpha=90.00 beta=90.00 gamma=90.00
Fractional coordinates of all 7 atoms:
S 0.7328 0.7328 0.2670
Ga 0.0000 0.5000 0.5000
S 0.2672 0.2672 0.2670
S 0.7328 0.2672 0.7330
Ag 0.0000 0.0000 0.0000
Ga 0.5000 0.0000 0.5000
S 0.2672 0.7328 0.7330

First-principles (PBE) data for an optimized crystal structure of Cs2Na2NpO4, as listed in Alexandria.

energy relative to the elements, uncorrected: -1.8656 eV/atom
DOS at the Fermi energy: 6.56 states/eV per cell
space-group type: C2/m (12)
energy: -53.909 eV per cell

Unit cell a=3.6631 b=9.5949 c=7.5741 alpha=131.47 beta=103.99 gamma=90.00
Last column: magnetic moment on the atom in μB.
Fractional coordinates of all 9 atoms:
O 0.4416 0.8077 0.8833  -0.06
Np 0.0000 0.0000 0.0000  2.63
Cs 0.8260 0.4263 0.6520  0.04
Na 0.6372 0.8973 0.2744  0.01
Na 0.3628 0.1027 0.7256  0.01
O 0.5584 0.1923 0.1167  -0.06
Cs 0.1740 0.5737 0.3480  0.04
O 0.1721 0.0756 0.3442  -0.07
O 0.8279 0.9244 0.6558  -0.07

First-principles (PBE) data for an optimized crystal structure of Ce3GePb2, as listed in Alexandria.

DOS at the Fermi energy: 78.56 states/eV per cell
space-group type: Pnma (62)
DFT formation energy: -0.393 eV/atom
energy: -128.767 eV per cell

Unit cell a=4.4764 b=12.0449 c=13.2316 alpha=90.00 beta=90.00 gamma=90.00
Last column: magnetic moment on the atom in μB.
Fractional coordinates of all 24 atoms:
Ce 0.7500 0.8928 0.4463  0.90
Pb 0.2500 0.7839 0.0173  0.00
Pb 0.7500 0.5063 0.1933  -0.03
Ce 0.7500 0.9552 0.1165  0.84
Ge 0.7500 0.8671 0.8872  0.01
Ce 0.2500 0.4552 0.3835  0.84
Ce 0.2500 0.1072 0.5537  0.90
Pb 0.2500 0.4937 0.8067  -0.03
Ce 0.2500 0.7793 0.7516  0.95
Ge 0.2500 0.3671 0.6128  0.01
Ce 0.2500 0.7207 0.2516  0.95
Ce 0.7500 0.2793 0.7484  0.95
Ce 0.7500 0.6072 0.9463  0.90
Ge 0.2500 0.1329 0.1128  0.01
Pb 0.2500 0.0063 0.3067  -0.03
Ce 0.7500 0.2207 0.2484  0.95
Ce 0.2500 0.0448 0.8835  0.84
Ce 0.2500 0.3928 0.0537  0.90
Ge 0.7500 0.6329 0.3872  0.01
Pb 0.7500 0.2161 0.9827  0.00
Pb 0.2500 0.7161 0.5173  0.00
Pb 0.7500 0.2839 0.4827  0.00
Pb 0.7500 0.9937 0.6933  -0.03
Ce 0.7500 0.5448 0.6165  0.84

First-principles (PBE) data for an optimized crystal structure of TaTl2Se, as listed in Alexandria.

energy relative to the elements, uncorrected: 0.6254 eV/atom
DOS at the Fermi energy: 3.91 states/eV per cell
space-group type: I4/mmm (139)
energy: -17.568 eV per cell

Unit cell a=6.0294 b=6.0294 c=6.0294 alpha=139.55 beta=139.55 gamma=58.54
Last column: magnetic moment on the atom in μB.
Fractional coordinates of all 4 atoms:
Tl 0.0000 0.0000 0.0000  0.00
Tl 0.5000 0.5000 0.0000  0.00
Se 0.2500 0.7500 0.5000  0.03
Ta 0.7500 0.2500 0.5000  0.52

First-principles (PBE) data for an optimized crystal structure of ScZn2Pd2, as listed in Alexandria.

DOS at the Fermi energy: 5.84 states/eV per cell
space-group type: P4/mbm (127)
DFT formation energy: -0.566 eV/atom
energy: -44.187 eV per cell

Unit cell a=7.3928 b=7.3928 c=2.9427 alpha=90.00 beta=90.00 gamma=90.00
Last column: magnetic moment on the atom in μB.
Fractional coordinates of all 10 atoms:
Sc 0.0000 0.0000 0.0000  0.21
Zn 0.8802 0.6198 0.0000  0.00
Pd 0.1788 0.6788 0.5000  0.00
Pd 0.6788 0.8212 0.5000  0.01
Zn 0.1198 0.3802 0.0000  0.00
Sc 0.5000 0.5000 0.0000  0.21
Pd 0.3212 0.1788 0.5000  0.01
Pd 0.8212 0.3212 0.5000  0.00
Zn 0.3802 0.8802 0.0000  0.00
Zn 0.6198 0.1198 0.0000  0.00

First-principles (PBE) data for an optimized crystal structure of K2Rb6I, as listed in Alexandria.

energy relative to the elements, uncorrected: -0.2957 eV/atom
DOS at the Fermi energy: 6.48 states/eV per cell
space-group type: P-6m2 (187)
energy: -12.212 eV per cell

Unit cell a=4.9851 b=4.9851 c=33.3831 alpha=90.00 beta=90.00 gamma=120.00
Fractional coordinates of all 9 atoms:
Rb 0.3333 0.6667 0.8034
Rb 0.3333 0.6667 0.4305
K 0.6667 0.3333 0.6859
Rb 0.6667 0.3333 0.0707
Rb 0.6667 0.3333 0.9293
Rb 0.3333 0.6667 0.1966
K 0.6667 0.3333 0.3141
I 0.3333 0.6667 0.0000
Rb 0.3333 0.6667 0.5695

First-principles (PBE) data for an optimized crystal structure of Zr2OsCl, as listed in Alexandria.

energy relative to the elements, uncorrected: -0.0769 eV/atom
DOS at the Fermi energy: 3.25 states/eV per cell
space-group type: Cmm2 (35)
energy: -30.480 eV per cell

Unit cell a=3.0904 b=3.0904 c=9.9979 alpha=90.00 beta=90.00 gamma=114.09
Fractional coordinates of all 4 atoms:
Zr 0.0000 0.0000 0.9897
Zr 0.5000 0.5000 0.2576
Cl 0.0000 0.0000 0.4547
Os 0.5000 0.5000 0.7980

First-principles (PBE) data for an optimized crystal structure of CaPmTh, as listed in Alexandria.

DOS at the Fermi energy: 5.05 states/eV per cell
space-group type: P3m1 (156)
DFT formation energy: 0.099 eV/atom
energy: -13.874 eV per cell

Unit cell a=3.6538 b=3.6538 c=9.1735 alpha=90.00 beta=90.00 gamma=120.00
Fractional coordinates of all 3 atoms:
Th 0.6667 0.3333 0.3426
Pm 0.3333 0.6667 0.6512
Ca 0.0000 0.0000 0.0062

Question: What is the formula in the first record?
Answer: Ga2AgS4

Question: Number 8 is which compound?
Answer: CaPmTh

Question: The highest DOS at the Fermi energy belongs to which entry?
Answer: Ce3GePb2